NaCuAg2F6: relaxed, PBE-GGA.

Results
The total moment comes out at 2.09 μB per formula unit. The calculation puts the formation energy from raw total energies at -1.559 eV/atom.

Structure (POSCAR):
```
NaCuAg2F6
1.0
5.692 0.000 0.000
0.000 5.879 0.000
-5.583 0.000 8.145
Na Cu Ag F
2 2 4 12
direct
0.000 0.000 0.000 Na
0.000 0.500 0.500 Na
0.500 0.000 0.500 Cu
0.500 0.500 0.000 Cu
0.228 0.053 0.746 Ag
0.228 0.447 0.246 Ag
0.772 0.553 0.754 Ag
0.772 0.947 0.254 Ag
0.176 0.180 0.453 F
0.176 0.320 0.953 F
0.255 0.726 0.425 F
0.255 0.774 0.925 F
0.389 0.057 0.274 F
0.389 0.443 0.774 F
0.611 0.557 0.226 F
0.611 0.943 0.726 F
0.745 0.226 0.075 F
0.745 0.274 0.575 F
0.824 0.680 0.047 F
0.824 0.820 0.547 F
```